[1]
A relaxed ErHgAu4 crystal, computed with PBE.

It has space group F-43m (No. 216), with a = 7.896 Å, b = 7.896 Å, c = 7.896 Å, α = 90.00°, β = 90.00° and γ = 90.00°. The distinct sites, in fractional coordinates, are Er at (0.000, 0.000, 0.000), Hg at (0.250, 0.250, 0.250) and Au at (0.125, 0.125, 0.625).

The formation energy from the elements comes out at -8.6 kcal/mol of atoms. Its final energy is -3.367 eV per atom. For the calculated volume, the calculation gives 492 Å³ per cell.



[2]
A relaxed CaMn2Se crystal, computed with PBE.

It has space group P4mm (No. 99), with a = 3.832 Å, b = 3.832 Å, c = 5.858 Å, α = 90.00°, β = 90.00° and γ = 90.00°. The distinct sites, in fractional coordinates, are Ca at (0.000, 0.000, 0.000), Mn at (0.000, 0.500, 0.475) and Se at (0.500, 0.500, 0.790).

The value obtained for the uncorrected formation energy is -0.144 eV per atom. Its final energy is -6.100 eV per atom. For the calculated volume, the calculation gives 86 Å³ per cell.



[3]
A relaxed Li6PrAg6 crystal, computed with PBE.

It has space group Immm (No. 71), with a = 5.597 Å, b = 8.946 Å, c = 9.821 Å, α = 90.00°, β = 90.00° and γ = 90.00°. The distinct sites, in fractional coordinates, are Li at (0.000, 0.000, 0.141), Li at (0.000, 0.347, 0.500), Li at (0.000, 0.500, 0.211), Pr at (0.000, 0.000, 0.500), Ag at (0.000, 0.292, 0.000) and Ag at (0.250, 0.250, 0.250).

The formation energy from the elements comes out at -3.8 kcal/mol of atoms. The value obtained for the energy above the most stable polymorph in this dataset is 0.000 eV per atom. Its final energy is -2.730 eV per atom. For the calculated volume, the calculation gives 492 Å³ per cell.



[4]
A relaxed PaH2Ir crystal, computed with PBE.

It has space group Pnma (No. 62), with a = 7.554 Å, b = 4.135 Å, c = 6.254 Å, α = 90.00°, β = 90.00° and γ = 90.00°. The distinct sites, in fractional coordinates, are Pa at (0.190, 0.250, 0.161), H at (0.089, 0.519, 0.859) and Ir at (0.035, 0.250, 0.642).

The value obtained for the energy above the most stable polymorph in this dataset is 0.000 eV per atom. Its final energy is -6.755 eV per atom. For the calculated volume, the calculation gives 195 Å³ per cell.